CaBe2W | meta-GGA SCAN | PBEsol geometry

abc: 4.360 4.360 4.360
angles: 60.00 60.00 60.00
Each line ends with the local moment (μB).
Atoms (fractional coordinates):
Be: 0.250 0.250 0.250  0.05
Be: 0.750 0.750 0.750  0.05
Ca: 0.000 0.000 0.000  -0.02
W: 0.500 0.500 0.500  -1.34

D(E_F): 2.7 states/eV/cell
Symmetry: No. 225
ΔH_f (0 K): 0.826 eV/atom
Distance to the lowest polymorph of the same formula: 274 meV per atom
Uncorrected energy: -84.75 eV for the cell shown


CaBeW2 | meta-GGA SCAN | PBEsol geometry

abc: 2.715 2.715 8.588
angles: 90.00 90.00 90.00
Atoms (fractional coordinates):
Be: 0.500 0.500 0.000
Ca: 0.500 0.500 0.500
W: 0.000 0.000 0.809
W: 0.000 0.000 0.191

D(E_F): 2.4 states/eV/cell
Symmetry: No. 123
ΔH_f (0 K): 0.645 eV/atom
Uncorrected energy: -150.81 eV for the cell shown


CaBe2W | meta-GGA SCAN | PBEsol geometry

abc: 3.700 3.700 4.975
angles: 111.83 111.83 90.00
Atoms (fractional coordinates):
Be: 0.000 0.000 0.000
Be: 0.750 0.250 0.500
Ca: 0.500 0.500 0.000
W: 0.250 0.750 0.500

D(E_F): 3.0 states/eV/cell
Symmetry: No. 119
ΔH_f (0 K): 0.989 eV/atom
Distance to the lowest polymorph of the same formula: 437 meV per atom
Uncorrected energy: -84.10 eV for the cell shown


CaBe2W | meta-GGA SCAN | PBEsol geometry

abc: 2.676 4.442 5.754
angles: 97.50 90.00 107.53
Atoms (fractional coordinates):
Be: 0.758 0.516 0.852
Be: 0.242 0.484 0.148
Ca: 0.000 0.000 0.500
W: 0.500 0.000 0.000

D(E_F): 1.7 states/eV/cell
Symmetry: No. 12
ΔH_f (0 K): 0.602 eV/atom
Distance to the lowest polymorph of the same formula: 50 meV per atom
Uncorrected energy: -85.65 eV for the cell shown


CaBe2W | meta-GGA SCAN | PBEsol geometry

abc: 2.735 4.539 4.539
angles: 90.00 90.00 90.00
Atoms (fractional coordinates):
Be: 0.885 0.000 0.500
Be: 0.885 0.500 0.000
Ca: 0.422 0.000 0.000
W: 0.306 0.500 0.500

D(E_F): 0.4 states/eV/cell
Symmetry: No. 99
ΔH_f (0 K): 0.552 eV/atom
Distance to the lowest polymorph of the same formula: 0 meV per atom
Uncorrected energy: -85.85 eV for the cell shown


CaBe4W | meta-GGA SCAN | PBEsol geometry

abc: 4.683 4.683 4.683
angles: 60.00 60.00 60.00
Each line ends with the local moment (μB).
Atoms (fractional coordinates):
Be: 0.370 0.370 0.370  0.03
Be: 0.370 0.370 0.889  0.03
Be: 0.889 0.370 0.370  0.03
Be: 0.370 0.889 0.370  0.03
Ca: 0.750 0.750 0.750  0.19
W: 0.000 0.000 0.000  1.05

D(E_F): 3.0 states/eV/cell
Symmetry: No. 216
ΔH_f (0 K): 0.408 eV/atom
Uncorrected energy: -94.32 eV for the cell shown


Ca2YBe | meta-GGA SCAN | PBEsol geometry

abc: 3.592 5.237 6.726
angles: 112.91 105.49 90.00
Each line ends with the local moment (μB).
Atoms (fractional coordinates):
Y: 0.500 0.000 0.000  -0.22
Be: 0.000 0.500 0.000  -0.03
Ca: 0.693 0.693 0.387  -0.06
Ca: 0.307 0.307 0.613  -0.06

D(E_F): 3.5 states/eV/cell
Symmetry: No. 71
ΔH_f (0 K): 0.272 eV/atom
Uncorrected energy: -50.44 eV for the cell shown


Ca2YBe | meta-GGA SCAN | PBEsol geometry

abc: 3.514 3.514 9.262
angles: 90.00 90.00 90.00
Each line ends with the local moment (μB).
Atoms (fractional coordinates):
Y: 0.500 0.500 0.573  0.25
Be: 0.000 0.000 0.733  0.01
Ca: 0.500 0.500 0.928  0.02
Ca: 0.000 0.000 0.265  0.03

D(E_F): 3.3 states/eV/cell
Symmetry: No. 99
ΔH_f (0 K): 0.142 eV/atom
Uncorrected energy: -50.95 eV for the cell shown


CaBeZn | meta-GGA SCAN | PBEsol geometry

abc: 4.480 4.480 4.480
angles: 60.00 60.00 60.00
Atoms (fractional coordinates):
Be: 0.000 0.000 0.000
Zn: 0.250 0.250 0.250
Ca: 0.500 0.500 0.500

D(E_F): 2.7 states/eV/cell
Symmetry: No. 216
ΔH_f (0 K): 0.376 eV/atom
Uncorrected energy: -26.40 eV for the cell shown


CaBe2Zn | meta-GGA SCAN | PBEsol geometry

abc: 3.889 3.896 5.544
angles: 110.49 90.00 119.94
Atoms (fractional coordinates):
Be: 0.995 0.990 0.985
Be: 0.315 0.629 0.943
Zn: 0.690 0.379 0.069
Ca: 0.501 0.002 0.503

D(E_F): 1.5 states/eV/cell
Symmetry: No. 8
ΔH_f (0 K): -0.037 eV/atom
Uncorrected energy: -32.03 eV for the cell shown


Ca2ZrBe | meta-GGA SCAN | PBEsol geometry

abc: 3.326 3.326 9.117
angles: 90.00 90.00 90.00
Atoms (fractional coordinates):
Be: 0.500 0.500 0.286
Ca: 0.000 0.000 0.072
Ca: 0.500 0.500 0.716
Zr: 0.000 0.000 0.425

D(E_F): 1.6 states/eV/cell
Symmetry: No. 99
ΔH_f (0 K): 0.213 eV/atom
Uncorrected energy: -53.53 eV for the cell shown


Be3Cd | meta-GGA SCAN | PBEsol geometry

abc: 2.564 4.060 4.918
angles: 101.84 90.00 108.41
Atoms (fractional coordinates):
Be: 0.500 0.000 0.500
Be: 0.239 0.477 0.669
Be: 0.761 0.523 0.331
Cd: 0.000 0.000 0.000

D(E_F): 0.7 states/eV/cell
Symmetry: No. 12
ΔH_f (0 K): 0.379 eV/atom
Distance to the lowest polymorph of the same formula: 0 meV per atom
Uncorrected energy: -41.96 eV for the cell shown


Question: What is the formula in the seventh record?
Answer: Ca2YBe